An optimized crystal structure of NaMoAsO5. Source: the Alexandria database, functional GGA+U.

- SG = C2/c
- VASP energy (eV per atom) = -6.34
- calculated volume (A^3/atom) = 13.35

abc: 5.7003 5.7003 7.4530
angles: 104.51 104.51 104.72
Sites, in units of the cell vectors:
Na  0.1724  0.8276  0.7500
Na  0.8276  0.1724  0.2500
Mo  0.5000  0.5000  0.0000
Mo  0.5000  0.5000  0.5000
As  0.1818  0.8182  0.2500
As  0.8182  0.1818  0.7500
O  0.1156  0.2459  0.9166
O  0.1767  0.5989  0.3747
O  0.2459  0.1156  0.4166
O  0.4011  0.8233  0.1253
O  0.4339  0.5661  0.7500
O  0.5661  0.4339  0.2500
O  0.5989  0.1767  0.8747
O  0.7541  0.8844  0.5834
O  0.8233  0.4011  0.6253
O  0.8844  0.7541  0.0834